The following is a meta-GGA SCAN calculation of LiYPb at its PBEsol-relaxed geometry, from Alexandria.

Cell: 3.4374 3.4374 7.8070 Å, 90.00 90.00 120.00°
Sites, in units of the cell vectors:
Li 0.0000 0.0000 0.0000
Y 0.3333 0.6667 0.3690
Pb 0.6667 0.3333 0.7088

Values from the calculation:
Fermi-level density of states ... 1.901 states/eV/f.u.
DFT formation energy ... -163 meV/atom



The following is a meta-GGA SCAN calculation of SrInI3 at its PBEsol-relaxed geometry, from Alexandria.

Cell: 5.9785 5.9785 5.9785 Å, 90.00 90.00 90.00°
Sites, in units of the cell vectors:
Sr 0.0000 0.0000 0.0000
In 0.5000 0.5000 0.5000
I 0.0000 0.5000 0.5000
I 0.5000 0.0000 0.5000
I 0.5000 0.5000 0.0000

Values from the calculation:
Fermi-level density of states ... 1.244 states/eV/f.u.
Formation energy from raw total energies ... -0.734 eV per atom



The following is a meta-GGA SCAN calculation of TlReCl2 at its PBEsol-relaxed geometry, from Alexandria.

Cell: 2.8841 4.5212 6.6241 Å, 90.00 90.00 90.00°
Sites, in units of the cell vectors:
Tl 0.0000 0.0000 0.0000
Re 0.5000 0.5000 0.6723
Cl 0.5000 0.0000 0.5853
Cl 0.5000 0.5000 0.3280

Values from the calculation:
Fermi-level density of states ... 2.328 states/eV/f.u.
Relative energy among the computed polymorphs ... 0.0 meV/atom
Formation energy from raw total energies ... 0.364 eV per atom



The following is a meta-GGA SCAN calculation of CoTc2Os at its PBEsol-relaxed geometry, from Alexandria.

Cell: 2.6123 2.6123 8.7224 Å, 90.00 90.00 115.28°
Sites, in units of the cell vectors:
Co 0.0000 0.0000 0.0000
Tc 0.0000 0.0000 0.4960
Tc 0.5000 0.5000 0.2409
Os 0.5000 0.5000 0.7561

Values from the calculation:
Fermi-level density of states ... 3.905 states/eV/f.u.
Relative energy among the computed polymorphs ... 336.3 meV/atom
DFT formation energy ... 329 meV/atom



The following is a meta-GGA SCAN calculation of Cu2MoSe at its PBEsol-relaxed geometry, from Alexandria.

Cell: 4.7337 4.7337 4.7337 Å, 133.88 133.88 67.28°
Sites, in units of the cell vectors:
Cu 0.0000 0.0000 0.0000
Cu 0.7500 0.2500 0.5000
Mo 0.5000 0.5000 0.0000
Se 0.2500 0.7500 0.5000

Values from the calculation:
Fermi-level density of states ... 0.795 states/eV/f.u.
Formation energy from raw total energies ... 0.327 eV per atom



The following is a meta-GGA SCAN calculation of CdP2W at its PBEsol-relaxed geometry, from Alexandria.

Cell: 4.5098 4.6909 4.6909 Å, 41.67 90.00 90.00°
Sites, in units of the cell vectors:
Cd 0.0000 0.0000 0.0000
P 0.0000 0.7238 0.7238
P 0.5000 0.3265 0.3265
W 0.5000 0.6158 0.6158

Values from the calculation:
Fermi-level density of states ... 1.264 states/eV/f.u.
Relative energy among the computed polymorphs ... 286.5 meV/atom
DFT formation energy ... 295 meV/atom



The following is a meta-GGA SCAN calculation of ZnMoSe2 at its PBEsol-relaxed geometry, from Alexandria.

Cell: 6.6281 6.6281 6.6281 Å, 127.35 127.35 77.68°
Sites, in units of the cell vectors:
Zn 0.0000 0.0000 0.0000
Zn 0.7500 0.2500 0.5000
Mo 0.2500 0.7500 0.5000
Mo 0.5000 0.5000 0.0000
Se 0.1232 0.1250 0.4982
Se 0.3750 0.8768 0.0018
Se 0.6268 0.6250 0.5018
Se 0.8750 0.3732 0.9982

Values from the calculation:
Fermi-level density of states ... 2.990 states/eV/f.u.
Formation energy from raw total energies ... -0.002 eV per atom



The following is a meta-GGA SCAN calculation of Mg3H4O5 at its PBEsol-relaxed geometry, from Alexandria.

Cell: 3.0926 3.0926 11.8497 Å, 90.00 90.00 120.00°
Sites, in units of the cell vectors:
Mg 0.0000 0.0000 0.0000
Mg 0.3333 0.6667 0.6023
Mg 0.6667 0.3333 0.3977
H 0.3333 0.6667 0.2265
H 0.3333 0.6667 0.8291
H 0.6667 0.3333 0.1709
H 0.6667 0.3333 0.7735
O 0.0000 0.0000 0.5000
O 0.3333 0.6667 0.3089
O 0.3333 0.6667 0.9113
O 0.6667 0.3333 0.0887
O 0.6667 0.3333 0.6911

Values from the calculation:
Fermi-level density of states ... 0.000 states/eV/f.u.
VASP energy ... -84.7 eV per formula unit



The following is a meta-GGA SCAN calculation of NaIO2F at its PBEsol-relaxed geometry, from Alexandria.

Cell: 4.1483 4.1483 6.1853 Å, 90.00 90.00 90.00°
Sites, in units of the cell vectors:
Na 0.0000 0.0000 0.0000
I 0.0000 0.0000 0.5000
O 0.0000 0.5000 0.0000
O 0.5000 0.0000 0.0000
F 0.5000 0.5000 0.5000

Values from the calculation:
Fermi-level density of states ... 2.062 states/eV/f.u.
Formation energy from raw total energies ... 0.295 eV per atom



The following is a meta-GGA SCAN calculation of LaLuTl2 at its PBEsol-relaxed geometry, from Alexandria.

Cell: 5.3665 5.3665 5.3665 Å, 60.00 60.00 60.00°
Sites, in units of the cell vectors:
La 0.0000 0.0000 0.0000
Lu 0.5000 0.5000 0.5000
Tl 0.2500 0.2500 0.2500
Tl 0.7500 0.7500 0.7500

Values from the calculation:
Fermi-level density of states ... 2.883 states/eV/f.u.
DFT formation energy ... -534 meV/atom



The following is a meta-GGA SCAN calculation of Sc2Co at its PBEsol-relaxed geometry, from Alexandria.

Cell: 8.3531 8.3531 8.3531 Å, 60.00 60.00 60.00°
Sites, in units of the cell vectors:
Sc 0.0000 0.0000 0.0000
Sc 0.0000 0.0000 0.5000
Sc 0.0000 0.5000 0.0000
Sc 0.1874 0.1874 0.5626
Sc 0.1874 0.5626 0.1874
Sc 0.1874 0.5626 0.5626
Sc 0.4374 0.4374 0.8126
Sc 0.4374 0.8126 0.4374
Sc 0.4374 0.8126 0.8126
Sc 0.5000 0.0000 0.0000
Sc 0.5626 0.1874 0.1874
Sc 0.5626 0.1874 0.5626
Sc 0.5626 0.5626 0.1874
Sc 0.8126 0.4374 0.4374
Sc 0.8126 0.4374 0.8126
Sc 0.8126 0.8126 0.4374
Co 0.1314 0.7896 0.7896
Co 0.2104 0.2104 0.2104
Co 0.2104 0.2104 0.8686
Co 0.2104 0.8686 0.2104
Co 0.7896 0.1314 0.7896
Co 0.7896 0.7896 0.1314
Co 0.7896 0.7896 0.7896
Co 0.8686 0.2104 0.2104

Values from the calculation:
Fermi-level density of states ... 3.536 states/eV/f.u.
DFT formation energy ... -129 meV/atom



The following is a meta-GGA SCAN calculation of Zr5CuPb3 at its PBEsol-relaxed geometry, from Alexandria.

Cell: 8.6710 8.6710 5.8698 Å, 90.00 90.00 120.00°
Sites, in units of the cell vectors:
Zr 0.0000 0.2583 0.2500
Zr 0.0000 0.7417 0.7500
Zr 0.2583 0.0000 0.2500
Zr 0.2583 0.2583 0.7500
Zr 0.3333 0.6667 0.0000
Zr 0.3333 0.6667 0.5000
Zr 0.6667 0.3333 0.0000
Zr 0.6667 0.3333 0.5000
Zr 0.7417 0.0000 0.7500
Zr 0.7417 0.7417 0.2500
Cu 0.0000 0.0000 0.0000
Cu 0.0000 0.0000 0.5000
Pb 0.0000 0.3868 0.7500
Pb 0.0000 0.6132 0.2500
Pb 0.3868 0.0000 0.7500
Pb 0.3868 0.3868 0.2500
Pb 0.6132 0.0000 0.2500
Pb 0.6132 0.6132 0.7500

Values from the calculation:
Fermi-level density of states ... 6.403 states/eV/f.u.
DFT formation energy ... -503 meV/atom



The following is a meta-GGA SCAN calculation of LiLaTe at its PBEsol-relaxed geometry, from Alexandria.

Cell: 5.9929 5.9929 5.9929 Å, 142.78 142.78 53.65°
Sites, in units of the cell vectors:
Li 0.0000 0.0000 0.0000
La 0.7083 0.7083 0.0000
Te 0.3973 0.3973 0.0000

Values from the calculation:
Fermi-level density of states ... 1.754 states/eV/f.u.
Relative energy among the computed polymorphs ... 311.5 meV/atom
Formation energy from raw total energies ... -0.851 eV per atom



The following is a meta-GGA SCAN calculation of Hg3Au at its PBEsol-relaxed geometry, from Alexandria.

Cell: 5.3391 5.3391 5.3391 Å, 90.00 90.00 90.00°
Sites, in units of the cell vectors:
Hg 0.0000 0.0000 0.5000
Hg 0.0000 0.5000 0.0000
Hg 0.5000 0.0000 0.0000
Au 0.0000 0.0000 0.0000

Values from the calculation:
Fermi-level density of states ... 0.552 states/eV/f.u.
Relative energy among the computed polymorphs ... 32.8 meV/atom
DFT formation energy ... 67 meV/atom



The following is a meta-GGA SCAN calculation of CeAlSi at its PBEsol-relaxed geometry, from Alexandria.

Cell: 7.8310 7.8310 7.8310 Å, 149.31 149.31 43.96°
Sites, in units of the cell vectors:
Ce 0.0000 0.0000 0.0000
Ce 0.7500 0.2500 0.5000
Al 0.1665 0.6665 0.5000
Al 0.4165 0.4165 0.0000
Si 0.3323 0.8323 0.5000
Si 0.5823 0.5823 0.0000

Values from the calculation:
Fermi-level density of states ... 2.631 states/eV/f.u.
Formation energy from raw total energies ... -0.640 eV per atom



The following is a meta-GGA SCAN calculation of ZrTiFeAu2 at its PBEsol-relaxed geometry, from Alexandria.

Cell: 4.7877 4.7877 4.3084 Å, 90.00 90.00 90.00°
Sites, in units of the cell vectors:
Zr 0.0000 0.0000 0.0000
Ti 0.5000 0.5000 0.0000
Fe 0.0000 0.0000 0.5000
Au 0.0000 0.5000 0.5000
Au 0.5000 0.0000 0.5000

Values from the calculation:
Fermi-level density of states ... 3.997 states/eV/f.u.
DFT formation energy ... 336 meV/atom



The following is a meta-GGA SCAN calculation of SrLi2Cd2 at its PBEsol-relaxed geometry, from Alexandria.

Cell: 7.2256 7.2256 7.2256 Å, 144.46 144.46 51.14°
Sites, in units of the cell vectors:
Sr 0.0000 0.0000 0.0000
Li 0.2500 0.7500 0.5000
Li 0.7500 0.2500 0.5000
Cd 0.3881 0.3881 0.0000
Cd 0.6119 0.6119 0.0000

Values from the calculation:
Fermi-level density of states ... 2.918 states/eV/f.u.
Relative energy among the computed polymorphs ... 0.0 meV/atom
DFT formation energy ... -269 meV/atom



The following is a meta-GGA SCAN calculation of ZnAs3O at its PBEsol-relaxed geometry, from Alexandria.

Cell: 4.7130 4.7130 4.7130 Å, 90.00 90.00 90.00°
Sites, in units of the cell vectors:
Zn 0.0000 0.0000 0.0000
As 0.0000 0.0000 0.5000
As 0.0000 0.5000 0.0000
As 0.5000 0.0000 0.0000
O 0.5000 0.5000 0.5000

Values from the calculation:
Fermi-level density of states ... 2.667 states/eV/f.u.
Formation energy from raw total energies ... 1.165 eV per atom



The following is a meta-GGA SCAN calculation of RbSiGeRh2 at its PBEsol-relaxed geometry, from Alexandria.

Cell: 4.4631 4.4631 5.5248 Å, 90.00 90.00 90.00°
Sites, in units of the cell vectors:
Rb 0.0000 0.0000 0.0000
Si 0.0000 0.0000 0.5000
Ge 0.5000 0.5000 0.0000
Rh 0.0000 0.5000 0.5000
Rh 0.5000 0.0000 0.5000

Values from the calculation:
Fermi-level density of states ... 2.335 states/eV/f.u.
Formation energy from raw total energies ... 0.722 eV per atom



The following is a meta-GGA SCAN calculation of SrTaFe2 at its PBEsol-relaxed geometry, from Alexandria.

Cell: 3.2314 3.2314 7.0629 Å, 90.00 90.00 90.00°
Sites, in units of the cell vectors:
Sr 0.0000 0.0000 0.0000
Ta 0.0000 0.0000 0.5000
Fe 0.5000 0.5000 0.3323
Fe 0.5000 0.5000 0.6677

Values from the calculation:
Fermi-level density of states ... 3.143 states/eV/f.u.
DFT formation energy ... 372 meV/atom